[1]
The following is a PBE calculation of a relaxed structure of ErTaBrO4, from the Alexandria database.

```
ErTaBrO4
1.0
6.491 -3.155 0.000
6.491 3.155 0.000
-1.936 0.000 6.469
Er Ta Br O
2 2 2 8
Direct
0.207 0.207 0.329
0.793 0.793 0.671
0.112 0.112 0.714
0.888 0.888 0.286
0.469 0.469 0.822
0.531 0.531 0.178
0.039 0.039 0.341
0.047 0.588 0.374
0.163 0.163 0.999
0.412 0.953 0.626
0.588 0.047 0.374
0.837 0.837 0.001
0.953 0.412 0.626
0.961 0.961 0.659
```

Computed properties:
For the volume, the calculation gives 18.924 Å³ per atom. The value obtained for the formation energy from raw total energies is -18.55 eV/f.u. As for the symmetry: No. 12.



[2]
The following is a PBE calculation of a relaxed structure of Na2In3PtAu12, from the Alexandria database.

```
Na2In3PtAu12
1.0
4.790 2.765 4.671
-4.790 2.765 4.671
0.000 -5.531 4.671
Na In Pt Au
2 3 1 12
Direct
0.186 0.186 0.186
0.814 0.814 0.814
0.000 0.500 0.500
0.500 0.000 0.500
0.500 0.500 0.000
0.500 0.500 0.500
0.093 0.093 0.612
0.093 0.612 0.093
0.210 0.701 0.701
0.299 0.299 0.790
0.299 0.790 0.299
0.388 0.907 0.907
0.612 0.093 0.093
0.701 0.210 0.701
0.701 0.701 0.210
0.790 0.299 0.299
0.907 0.388 0.907
0.907 0.907 0.388
```

Computed properties:
For the total energy, the calculation gives -0.2345 Ry per atom. For the volume, the calculation gives 20.622 Å³ per atom. As for the symmetry: No. 166.



[3]
The following is a PBE calculation of a relaxed structure of Si2BiCl, from the Alexandria database.

```
Si2BiCl
1.0
-2.422 2.422 8.544
2.422 -2.422 8.544
2.422 2.422 -8.544
Si Bi Cl
4 2 2
Direct
0.024 0.625 0.899
0.375 0.274 0.399
0.726 0.125 0.101
0.875 0.976 0.601
0.250 0.750 0.500
0.500 0.500 0.000
0.000 0.000 0.000
0.750 0.250 0.500
```

Computed properties:
For the volume, the calculation gives 25.055 Å³ per atom. The value obtained for the formation energy from raw total energies is 2.13 eV/f.u. As for the symmetry: No. 122. The energy above the most stable polymorph in this dataset comes out at 0.064 eV/atom.



[4]
The following is a PBE calculation of a relaxed structure of ErAg6Au12, from the Alexandria database.

```
ErAg6Au12
1.0
5.631 3.251 3.354
-5.631 3.251 3.354
0.000 -6.503 3.354
Er Ag Au
1 6 12
Direct
0.000 0.000 0.000
0.179 0.179 0.431
0.179 0.431 0.179
0.431 0.179 0.179
0.569 0.821 0.821
0.821 0.569 0.821
0.821 0.821 0.569
0.000 0.258 0.742
0.000 0.742 0.258
0.180 0.597 0.597
0.258 0.000 0.742
0.258 0.742 0.000
0.403 0.403 0.820
0.403 0.820 0.403
0.597 0.180 0.597
0.597 0.597 0.180
0.742 0.000 0.258
0.742 0.258 0.000
0.820 0.403 0.403
```

Computed properties:
For the total energy, the calculation gives -0.2401 Ry per atom. For the volume, the calculation gives 19.390 Å³ per atom. As for the symmetry: No. 166.



[5]
The following is a PBE calculation of a relaxed structure of Li2TlSb, from the Alexandria database.

```
Li2TlSb
1.0
3.211 0.000 0.000
0.000 4.060 0.000
-0.054 0.000 6.740
Li Tl Sb
2 1 1
Direct
0.001 0.000 0.276
0.999 0.000 0.724
0.500 0.500 0.000
0.500 0.500 0.500
```

Computed properties:
For the volume, the calculation gives 21.968 Å³ per atom. The value obtained for the formation energy from raw total energies is -1.29 eV/f.u. As for the symmetry: No. 10.



[6]
The following is a PBE calculation of a relaxed structure of Np2Ni4SnGe3, from the Alexandria database.

```
Np2Ni4SnGe3
1.0
4.153 0.000 0.000
0.000 4.153 0.000
0.000 0.000 9.869
Np Ni Sn Ge
2 4 1 3
Direct
0.000 0.500 0.235
0.500 0.000 0.765
0.000 0.000 0.000
0.000 0.500 0.641
0.500 0.000 0.359
0.500 0.500 0.000
0.000 0.000 0.500
0.000 0.500 0.876
0.500 0.000 0.124
0.500 0.500 0.500
```

Computed properties:
For the total energy, the calculation gives -0.5131 Ry per atom. For the volume, the calculation gives 17.019 Å³ per atom. As for the symmetry: No. 115.